A plane-wave DFT calculation with GGA+U was carried out for crystalline Rb4Mo5H4Se2O23 at its relaxed geometry.

Unit cell a=11.4259 b=11.4259 c=12.4608 alpha=106.12 beta=106.12 gamma=54.40
Positions (direct):
1 Rb 0.0118 0.0118 0.2446
2 Rb 0.0242 0.6301 0.2255
3 Rb 0.0508 0.5662 0.5787
4 Rb 0.3699 0.9758 0.7745
5 Rb 0.4338 0.9492 0.4213
6 Rb 0.6106 0.0286 0.0782
7 Rb 0.9714 0.3894 0.9218
8 Rb 0.9882 0.9882 0.7554
9 Mo 0.0596 0.7458 0.9584
10 Mo 0.2542 0.9404 0.0416
11 Mo 0.3235 0.3887 0.8916
12 Mo 0.3672 0.6328 0.5000
13 Mo 0.4194 0.2970 0.3725
14 Mo 0.6113 0.6765 0.1084
15 Mo 0.6616 0.3384 0.0000
16 Mo 0.7030 0.5806 0.6275
17 Mo 0.7785 0.0265 0.4401
18 Mo 0.9735 0.2215 0.5599
19 H 0.1268 0.2591 0.1745
20 H 0.4148 0.1949 0.6705
21 H 0.5669 0.1108 0.6305
22 H 0.6044 0.0081 0.7725
23 H 0.7409 0.8732 0.8255
24 H 0.8051 0.5852 0.3295
25 H 0.8892 0.4331 0.3695
26 H 0.9919 0.3956 0.2275
27 Se 0.3739 0.6077 0.1669
28 Se 0.3923 0.6261 0.8331
29 Se 0.6251 0.3349 0.6600
30 Se 0.6651 0.3749 0.3400
31 O 0.0446 0.3575 0.1623
32 O 0.0560 0.1742 0.6967
33 O 0.1066 0.8934 0.0000
34 O 0.1239 0.1461 0.4941
35 O 0.1349 0.5391 0.9430
36 O 0.1785 0.0815 0.9645
37 O 0.1904 0.6935 0.1389
38 O 0.2199 0.0342 0.1789
39 O 0.2221 0.6947 0.5687
40 O 0.2696 0.3582 0.7453
41 O 0.2760 0.6061 0.8835
42 O 0.2785 0.3221 0.4248
43 O 0.3053 0.7779 0.4313
44 O 0.3065 0.8096 0.8611
45 O 0.3465 0.5019 0.3677
46 O 0.3513 0.2434 0.9400
47 O 0.3850 0.2505 0.2275
48 O 0.3939 0.7240 0.1165
49 O 0.4348 0.4530 0.0645
50 O 0.4609 0.8651 0.0570
51 O 0.4782 0.4041 0.5526
52 O 0.4971 0.0961 0.6472
53 O 0.4981 0.6535 0.6323
54 O 0.5227 0.3182 0.8779
55 O 0.5470 0.5652 0.9355
56 O 0.5728 0.1000 0.4128
57 O 0.5959 0.5218 0.4474
58 O 0.6391 0.2523 0.3721
59 O 0.6418 0.7304 0.2547
60 O 0.6425 0.9554 0.8377
61 O 0.6779 0.7215 0.5752
62 O 0.6818 0.4773 0.1221
63 O 0.7055 0.1519 0.6207
64 O 0.7305 0.2005 0.0791
65 O 0.7477 0.3609 0.6279
66 O 0.7495 0.6150 0.7725
67 O 0.7566 0.6487 0.0600
68 O 0.7995 0.2695 0.9209
69 O 0.8258 0.9440 0.3033
70 O 0.8481 0.2945 0.3793
71 O 0.8539 0.8761 0.5059
72 O 0.9000 0.4272 0.5872
73 O 0.9039 0.5029 0.3528
74 O 0.9193 0.0807 0.5000
75 O 0.9185 0.8215 0.0355
76 O 0.9658 0.7801 0.8211

energy	-461.46	eV per cell
spin magnetization	0.000	μB per formula unit
crystal system	monoclinic